First-principles (GGA+U) data for a relaxed BaCaFe4O8 crystal, as listed in Alexandria via LeMat-Bulk.

a b c (Å): 5.5182 5.5182 7.8339
angles (deg): 90.00 90.00 120.00
With the nearest neighbours (Å) after each atom.
Space group P-31m (No. 162)
Inequivalent atoms, fractional coordinates:
Ba  0.0000  0.0000  0.0000  12 O 3.00-3.19
Ca  0.0000  0.0000  0.5000  6 O 2.38
Fe  0.3333  0.6667  0.2405  4 O 1.88-1.91
O  0.0000  0.3305  0.3044  2 Fe 1.91
O  0.3333  0.6667  0.0000  2 Fe 1.88

Calculated values
total DFT energy (no corrections)	-92.31	eV for the cell shown